Density functional theory data (GGA-PBE) for a geometry-optimized ReHgIr2 structure.

Lattice parameters (Å, degrees): 6.4001 6.4001 6.4001 154.95 140.64 47.22
With the nearest neighbours (Å) after each atom.
Positions (direct):
Re: 0.0000 0.0000 0.0000  6 Ir 2.52-2.70, 2 Re 2.78
Hg: 0.2326 0.7326 0.5000  6 Ir 2.76-2.86, 2 Hg 2.78, 2 Re 3.06
Ir: 0.5725 0.5725 0.0000  4 Re 2.70, 2 Ir 2.78, 2 Hg 2.86
Ir: 0.8207 0.3207 0.5000  2 Re 2.52, 4 Hg 2.76, 2 Ir 2.78

Values from the calculation:
density: 18252 kg/m3
space-group type: Imm2, No. 44
formation enthalpy at 0 K: 1.8 eV per formula unit

=====

Density functional theory data (GGA-PBE) for a geometry-optimized ReHgIr2 structure.

Lattice parameters (Å, degrees): 4.8396 4.8396 4.9877 98.31 98.31 33.54
With the nearest neighbours (Å) after each atom.
Positions (direct):
Re: 0.0000 0.0000 0.0000  6 Ir 2.75-2.79, 2 Re 2.79, 4 Hg 2.86
Hg: 0.5000 0.5000 0.5000  2 Hg 2.79, 6 Ir 2.80-2.91, 4 Re 2.86
Ir: 0.2572 0.2572 0.7720  4 Ir 2.69-2.79, 3 Re 2.75-2.79, 3 Hg 2.80-2.91
Ir: 0.7428 0.7428 0.2280  4 Ir 2.69-2.79, 3 Re 2.75-2.79, 3 Hg 2.80-2.91

Values from the calculation:
density: 20073 kg/m3
space-group type: C2/m, No. 12
formation enthalpy at 0 K: 1.7 eV per formula unit

=====

Density functional theory data (GGA-PBE) for a geometry-optimized ReHg2Ir structure.

Lattice parameters (Å, degrees): 4.8478 4.8478 2.9913 90.00 90.00 90.00
With the nearest neighbours (Å) after each atom.
Positions (direct):
Re: 0.0000 0.0000 0.0000  8 Hg 2.85, 2 Re 2.99
Hg: 0.0000 0.5000 0.5000  4 Re 2.85, 4 Ir 2.85, 2 Hg 2.99
Hg: 0.5000 0.0000 0.5000  4 Re 2.85, 4 Ir 2.85, 2 Hg 2.99
Ir: 0.5000 0.5000 0.0000  8 Hg 2.85, 2 Ir 2.99

Values from the calculation:
E above lowest polymorph: 0.7498 eV/atom
density: 18414 kg/m3
space-group type: P4/mmm, No. 123
formation enthalpy at 0 K: 4.1 eV per formula unit